Compound: PuAlBr
Source: the Alexandria database
Functional: PBE
Structure: optimized geometry

The structure in extended XYZ format:
```
6
Lattice="3.8057 0.0000 0.0000 0.0000 3.8057 0.0000 0.0000 0.0000 11.2653" Properties=species:S:1:pos:R:3 pbc="T T T"
Pu 0.9514 0.9514 2.6013
Pu 2.8542 2.8542 8.6640
Al 0.9514 2.8542 0.0000
Al 2.8542 0.9514 0.0000
Br 0.9514 0.9514 7.2168
Br 2.8542 2.8542 4.0485
```

Summary:
E_form (uncorrected): -609 meV per atom
Space group: P4/nmm

=====

Compound: TlNiP3
Source: the Alexandria database
Functional: PBE
Structure: optimized geometry

The structure in extended XYZ format:
```
5
Lattice="4.5424 0.0000 0.0000 0.0000 4.5424 0.0000 0.0000 0.0000 4.5424" Properties=species:S:1:pos:R:3 pbc="T T T"
Tl 0.0000 0.0000 0.0000
Ni 2.2712 2.2712 2.2712
P 0.0000 2.2712 2.2712
P 2.2712 0.0000 2.2712
P 2.2712 2.2712 0.0000
```

Summary:
Energy above the lowest structure with this stoichiometry: 0.0000 eV/atom
ΔH_f (0 K): 0.564 eV/atom
Space group: Pm-3m

=====

Compound: Ca2ReTc
Source: the Alexandria database
Functional: PBE
Structure: optimized geometry

The structure in extended XYZ format:
```
8
Lattice="3.6724 0.0000 0.0000 0.0000 4.2063 0.0000 0.0000 0.0000 9.9908" Properties=species:S:1:pos:R:3 pbc="T T T"
Ca 0.0000 0.0000 2.4615
Ca 0.0000 0.0000 7.5293
Ca 1.8362 2.1031 2.5339
Ca 1.8362 2.1031 7.4569
Re 0.0000 2.1031 0.0000
Re 1.8362 0.0000 4.9954
Tc 0.0000 2.1031 4.9954
Tc 1.8362 0.0000 0.0000
```

Summary:
Energy above the lowest structure with this stoichiometry: 0.5230 eV/atom
ΔH_f (0 K): 0.783 eV/atom
Space group: Immm

=====

Compound: CsS2O6
Source: the Alexandria database
Functional: PBE
Structure: optimized geometry

The structure in extended XYZ format:
```
18
Lattice="6.5959 -5.1833 0.0000 6.5959 5.1833 0.0000 -2.8433 0.0000 5.5681" Properties=species:S:1:pos:R:3 pbc="T T T"
Cs 4.4635 3.1362 4.1761
Cs 5.8851 -3.1362 1.3920
S 3.2405 0.7268 1.0936
S 1.8188 -0.7268 3.8776
S 8.5298 0.7268 1.6905
S 7.1081 -0.7268 4.4745
O 1.9020 0.6051 0.5206
O 3.7414 2.0700 1.3522
O 0.4804 -0.6051 3.3046
O 2.8149 0.2459 3.3363
O 4.2365 -0.2459 0.5522
O 8.0288 2.0700 1.4319
O 2.3198 -2.0700 4.1362
O 6.1121 0.2459 5.0158
O 7.5337 -0.2459 2.2318
O 9.8682 0.6051 2.2634
O 6.6071 -2.0700 4.2159
O 8.4466 -0.6051 5.0475
```

Summary:
Energy above the lowest structure with this stoichiometry: 0.0023 eV/atom
E_form (uncorrected): -1295 meV per atom
Space group: C2/c

=====

Compound: La4GaBr6
Source: the Alexandria database
Functional: PBE
Structure: optimized geometry

The structure in extended XYZ format:
```
22
Lattice="10.0836 0.0000 0.0000 0.0000 10.0836 0.0000 0.0000 0.0000 7.3284" Properties=species:S:1:pos:R:3 pbc="T T T"
La 0.0495 7.5627 0.5141
La 2.5209 5.0913 3.1501
La 2.5209 10.0341 3.1501
La 4.9923 7.5627 0.5141
La 5.0913 2.5209 6.8143
La 7.5627 0.0495 4.1783
La 7.5627 4.9923 4.1783
La 10.0341 2.5209 6.8143
Ga 2.5209 7.5627 1.8321
Ga 7.5627 2.5209 5.4963
Br 0.3925 5.4343 5.4963
Br 0.3925 9.6911 5.4963
Br 2.5209 2.5209 1.3704
Br 2.5209 2.5209 5.0346
Br 4.6493 5.4343 5.4963
Br 4.6493 9.6911 5.4963
Br 5.4343 0.3925 1.8321
Br 5.4343 4.6493 1.8321
Br 7.5627 7.5627 2.2939
Br 7.5627 7.5627 5.9581
Br 9.6911 0.3925 1.8321
Br 9.6911 4.6493 1.8321
```

Summary:
E_form (uncorrected): -1430 meV per atom
Space group: P4_2/nmc

=====

Compound: GeO
Source: the Alexandria database
Functional: PBE
Structure: optimized geometry

The structure in extended XYZ format:
```
12
Lattice="3.0798 0.0000 0.0000 0.0000 9.6202 0.0000 0.0000 0.0000 7.2812" Properties=species:S:1:pos:R:3 pbc="T T T"
Ge 0.7700 0.7611 0.9775
Ge 0.7700 4.0490 0.9775
Ge 0.7700 7.2151 3.7266
Ge 2.3099 2.4050 3.5546
Ge 2.3099 5.5712 6.3037
Ge 2.3099 8.8591 6.3037
O 0.7700 2.4050 0.2349
O 0.7700 5.7881 5.0526
O 0.7700 8.6421 5.0526
O 2.3099 0.9780 2.2286
O 2.3099 3.8320 2.2286
O 2.3099 7.2151 7.0463
```

Summary:
E_form (uncorrected): -1006 meV per atom
Space group: Pmmn

=====

Compound: HgSb2As
Source: the Alexandria database
Functional: PBE
Structure: optimized geometry

The structure in extended XYZ format:
```
8
Lattice="5.0232 0.0000 0.0000 1.6089 6.3827 0.0000 0.4815 2.4373 8.1566" Properties=species:S:1:pos:R:3 pbc="T T T"
Hg 0.0000 0.0000 0.0000
Hg 3.1129 4.7838 2.3021
Sb 1.6084 2.2346 0.6685
Sb 1.9321 1.8440 4.9945
Sb 5.4736 7.0518 3.1731
Sb 5.5775 6.6232 7.2925
As 2.0496 5.9761 5.1199
As 5.4031 2.9092 2.9653
```

Summary:
Energy above the lowest structure with this stoichiometry: 0.0480 eV/atom
E_form (uncorrected): 79 meV per atom
Space group: P1

=====

Compound: Sc7Cl10
Source: the Alexandria database
Functional: PBE
Structure: optimized geometry

The structure in extended XYZ format:
```
17
Lattice="9.9072 -1.7752 0.0000 9.9072 1.7752 0.0000 -0.4991 0.0000 12.7073" Properties=species:S:1:pos:R:3 pbc="T T T"
Sc 0.0000 0.0000 0.0000
Sc 3.4766 0.0000 5.9279
Sc 5.8366 0.0000 3.8944
Sc 6.2183 0.0000 9.5405
Sc 13.0969 0.0000 3.1668
Sc 13.4786 0.0000 8.8129
Sc 15.8386 0.0000 6.7794
Cl 2.0794 0.0000 1.5717
Cl 1.8673 0.0000 8.0649
Cl 3.9918 0.0000 10.7114
Cl 7.7794 0.0000 7.6532
Cl 8.8373 0.0000 1.4072
Cl 10.4779 0.0000 11.3001
Cl 11.5358 0.0000 5.0541
Cl 15.3234 0.0000 1.9959
Cl 17.4479 0.0000 4.6424
Cl 17.2358 0.0000 11.1356
```

Summary:
E_form (uncorrected): -1702 meV per atom
Space group: C2/m

=====

| no. | calculated volume (Å³/atom) | spin magnetization (μB/cell) |
| --- | --- | --- |
| 1 | 27.19 | 12.4 |
| 2 | 18.75 | 0.0 |
| 3 | 19.29 | 0.0 |
| 4 | 21.15 | 0.0 |
| 5 | 33.87 | 0.1 |
| 6 | 17.98 | 0.0 |
| 7 | 32.69 | 0.0 |
| 8 | 26.29 | 0.5 |